{
  "formula": "Fe2CoHg",
  "functional": "GGA-PBE",
  "state": "relaxed",
  "lattice": [[4.5498, 0.0322, -0.0453], [-1.4398, 4.3161, -0.0453], [0.0256, 0.0358, 2.8590]],
  "species": ["Fe", "Fe", "Co", "Hg"],
  "frac_coords": [[0.0000, 0.0000, 0.0000], [0.5000, 0.5000, 0.0000], [0.0000, 0.5000, 0.5000], [0.5000, 0.0000, 0.5000]],
  "e_tot_ev_per_atom": -5.70,
  "spacegroup": "Cmmm, No. 65",
  "n_ef_per_ev_cell": 2.85,
  "e_form_ev_per_atom": 0.38,
  "magnetic_moment_mub_per_fu": 7.02
}


{
  "formula": "CrTe2",
  "functional": "GGA-PBE",
  "state": "relaxed",
  "lattice": [[-7.0993, 0.9653, 1.8902], [-4.7773, 0.0985, 5.6632], [6.3124, 1.6767, -3.4996]],
  "species": ["Cr", "Te", "Te"],
  "frac_coords": [[0.5000, 0.5000, 0.0000], [0.8845, 0.8845, 0.0000], [0.1155, 0.1155, 0.0000]],
  "e_tot_ev_per_atom": -5.16,
  "spacegroup": "I4/mmm, No. 139",
  "n_ef_per_ev_cell": 1.18,
  "magnetic_moment_mub_per_fu": 0.00,
  "e_form_raw_ev_per_atom": 0.140
}


{
  "formula": "TiNbSbI2",
  "functional": "GGA-PBE",
  "state": "relaxed",
  "lattice": [[5.3480, 0.0000, 0.0000], [0.0000, 5.3480, 0.0000], [0.0000, 0.0000, 5.5010]],
  "species": ["Ti", "I", "I", "Nb", "Sb"],
  "frac_coords": [[0.0000, 0.0000, 0.0000], [0.0000, 0.5000, 0.0000], [0.5000, 0.0000, 0.0000], [0.5000, 0.5000, 0.5000], [0.0000, 0.0000, 0.5000]],
  "relative_energy_kj_per_mol_atoms": 0.0,
  "e_tot_ev_per_atom": -4.28,
  "spacegroup": "P4/mmm, No. 123",
  "n_ef_per_ev_cell": 7.46,
  "magnetic_moment_mub_per_fu": 4.03,
  "e_form_raw_ev_per_atom": 0.753
}


{
  "formula": "Pr8Sb4Te3",
  "functional": "GGA-PBE",
  "state": "relaxed",
  "lattice": [[-4.6879, -6.3705, 4.3885], [0.0878, 0.1259, -9.0312], [9.0305, -0.1674, 0.0958]],
  "species": ["Sb", "Sb", "Sb", "Sb", "Te", "Te", "Te", "Pr", "Pr", "Pr", "Pr", "Pr", "Pr", "Pr", "Pr"],
  "frac_coords": [[0.5000, 0.0000, 0.0000], [0.0000, 0.0000, 0.5000], [0.0000, 0.0000, 0.0000], [0.0000, 0.5000, 0.0000], [0.5000, 0.5000, 0.5000], [0.5000, 0.5000, 0.0000], [0.5000, 0.0000, 0.5000], [0.5000, 0.7533, 0.2467], [0.9961, 0.2487, 0.2487], [0.5064, 0.7557, 0.7557], [0.0000, 0.2483, 0.7517], [0.5000, 0.2467, 0.7533], [0.0000, 0.7517, 0.2483], [0.4936, 0.2443, 0.2443], [0.0039, 0.7513, 0.7513]],
  "e_tot_ev_per_atom": -5.47,
  "spacegroup": "C2/m, No. 12",
  "n_ef_per_ev_cell": 7.54,
  "magnetic_moment_mub_per_fu": 0.00,
  "e_form_raw_ev_per_atom": -1.198
}